Below is Sr4Au2O after structural relaxation, with properties calculated at the PBE-GGA level.

Output
* energy relative to the elements, uncorrected: -653.1 kJ/mol of formula units
* total energy: -25.009 eV/cell
* E above lowest polymorph: 1.57 eV per formula unit

Cell lengths 4.832, 4.832, 10.143 Å; angles 76.22, 76.22, 90.00 degrees
Sites, in units of the cell vectors:
Sr (0.314, 0.314, 0.371)
Sr (0.000, 0.500, 0.000)
Sr (0.686, 0.686, 0.629)
Sr (0.500, 0.000, 0.000)
Au (0.150, 0.150, 0.700)
Au (0.850, 0.850, 0.300)
O (0.000, 0.000, 0.000)

Below is BaUTlS4 after structural relaxation, with properties calculated at the PBE-GGA level.

Output
* energy relative to the elements, uncorrected: -899.8 kJ/mol of formula units
* total energy: -41.413 eV/cell

Cell lengths 5.212, 5.212, 8.724 Å; angles 107.38, 107.38, 90.00 degrees
Sites, in units of the cell vectors:
Ba (0.360, 0.360, 0.721)
S (0.840, 0.840, 0.680)
S (0.162, 0.162, 0.325)
S (0.994, 0.494, 0.987)
S (0.494, 0.994, 0.987)
Tl (0.647, 0.647, 0.295)
U (0.003, 0.003, 0.006)

Below is Ir2WSe after structural relaxation, with properties calculated at the PBE-GGA level.

Output
* energy relative to the elements, uncorrected: 149.4 kJ/mol of formula units
* total energy: -32.611 eV/cell
* E above lowest polymorph: 1.21 eV per formula unit

Cell lengths 6.247, 4.820, 2.849 Å; angles 89.82, 63.18, 120.97 degrees
Sites, in units of the cell vectors:
Se (0.000, 0.500, 0.500)
Ir (0.500, 0.000, 0.500)
Ir (0.000, 0.000, 0.000)
W (0.500, 0.500, 0.000)

Below is Pm5ThTl8 after structural relaxation, with properties calculated at the PBE-GGA level.

Output
* ΔH_f (0 K): -24 kJ/mol of atoms
* total energy: -53.534 eV/cell

Cell lengths 8.198, 8.198, 8.198 Å; angles 109.72, 108.98, 109.72 degrees
Sites, in units of the cell vectors:
Pm (0.500, 0.000, 0.500)
Pm (0.005, 0.376, 0.125)
Pm (0.875, 0.880, 0.251)
Pm (0.749, 0.624, 0.629)
Pm (0.371, 0.120, 0.995)
Tl (0.466, 0.585, 0.214)
Tl (0.123, 0.752, 0.042)
Tl (0.628, 0.919, 0.877)
Tl (0.786, 0.252, 0.370)
Tl (0.119, 0.748, 0.534)
Tl (0.291, 0.248, 0.372)
Tl (0.958, 0.081, 0.709)
Tl (0.630, 0.415, 0.881)
Th (0.250, 0.500, 0.750)

Below is TcBr after structural relaxation, with properties calculated at the PBE-GGA level.

Output
* energy relative to the elements, uncorrected: 139.2 kJ/mol of formula units
* total energy: -42.385 eV/cell
* E above lowest polymorph: 1.36 eV per formula unit

Cell lengths 8.205, 8.205, 3.174 Å; angles 90.00, 90.00, 90.00 degrees
Sites, in units of the cell vectors:
Tc (0.909, 0.909, 0.000)
Tc (0.591, 0.409, 0.500)
Tc (0.091, 0.091, 0.000)
Tc (0.409, 0.591, 0.500)
Br (0.215, 0.785, 0.000)
Br (0.785, 0.215, 0.000)
Br (0.285, 0.285, 0.500)
Br (0.715, 0.715, 0.500)

Below is Tb5Tl2Sn2 after structural relaxation, with properties calculated at the PBE-GGA level.

Output
* ΔH_f (0 K): -51 kJ/mol of atoms
* total energy: -81.268 eV/cell

Cell lengths 8.130, 8.227, 8.889 Å; angles 117.57, 90.00, 90.00 degrees
Sites, in units of the cell vectors:
Tl (0.370, 0.130, 0.000)
Tl (0.870, 0.370, 0.000)
Tl (0.130, 0.630, 0.000)
Tl (0.630, 0.870, 0.000)
Tb (0.170, 0.186, 0.720)
Tb (0.330, 0.966, 0.280)
Tb (0.170, 0.466, 0.280)
Tb (0.330, 0.686, 0.720)
Tb (0.670, 0.034, 0.720)
Tb (0.830, 0.814, 0.280)
Tb (0.500, 0.500, 0.000)
Tb (0.830, 0.534, 0.720)
Tb (0.670, 0.314, 0.280)
Tb (0.000, 0.000, 0.000)
Sn (0.500, 0.706, 0.411)
Sn (0.000, 0.794, 0.589)
Sn (0.500, 0.294, 0.589)
Sn (0.000, 0.206, 0.411)

Below is Ca2LaOsN4 after structural relaxation, with properties calculated at the PBE-GGA level.

Output
* energy relative to the elements, uncorrected: -446.7 kJ/mol of formula units
* total energy: -116.184 eV/cell

Cell lengths 3.506, 6.173, 11.931 Å; angles 90.00, 90.00, 106.50 degrees
Sites, in units of the cell vectors:
N (0.731, 0.461, 0.635)
N (0.000, 0.000, 0.500)
N (0.269, 0.539, 0.135)
N (0.582, 0.164, 0.250)
N (0.731, 0.461, 0.865)
N (0.000, 0.000, 0.000)
N (0.269, 0.539, 0.365)
N (0.418, 0.836, 0.750)
La (0.106, 0.212, 0.750)
La (0.894, 0.788, 0.250)
Ca (0.628, 0.256, 0.035)
Ca (0.372, 0.744, 0.535)
Ca (0.372, 0.744, 0.965)
Ca (0.628, 0.256, 0.465)
Os (0.841, 0.681, 0.750)
Os (0.159, 0.319, 0.250)

Below is ZrAl2Cl after structural relaxation, with properties calculated at the PBE-GGA level.

Output
* energy relative to the elements, uncorrected: 120.5 kJ/mol of formula units
* total energy: -16.631 eV/cell
* E above lowest polymorph: 2.99 eV per formula unit

Cell lengths 4.909, 4.909, 4.909 Å; angles 60.00, 60.00, 60.00 degrees
Sites, in units of the cell vectors:
Cl (0.000, 0.000, 0.000)
Al (0.750, 0.750, 0.750)
Al (0.250, 0.250, 0.250)
Zr (0.500, 0.500, 0.500)

Below is SrCa2La after structural relaxation, with properties calculated at the PBE-GGA level.

Output
* ΔH_f (0 K): 7 kJ/mol of atoms
* total energy: -10.317 eV/cell
* E above lowest polymorph: 0.04 eV per formula unit

Cell lengths 13.242, 13.242, 13.242 Å; angles 16.94, 16.94, 16.94 degrees
Sites, in units of the cell vectors:
Ca (0.249, 0.249, 0.249)
Ca (0.997, 0.997, 0.997)
Sr (0.751, 0.751, 0.751)
La (0.503, 0.503, 0.503)

Below is AlTl3Sb2 after structural relaxation, with properties calculated at the PBE-GGA level.

Output
* energy relative to the elements, uncorrected: -5.9 kJ/mol of formula units
* total energy: -38.296 eV/cell

Cell lengths 4.493, 9.198, 10.538 Å; angles 76.33, 77.69, 75.86 degrees
Sites, in units of the cell vectors:
Sb (0.608, 0.243, 0.541)
Sb (0.148, 0.518, 0.187)
Sb (0.392, 0.757, 0.459)
Sb (0.852, 0.482, 0.813)
Tl (0.753, 0.848, 0.646)
Tl (0.365, 0.265, 0.004)
Tl (0.635, 0.735, 0.996)
Tl (0.247, 0.152, 0.354)
Tl (0.943, 0.881, 0.234)
Tl (0.057, 0.119, 0.766)
Al (0.576, 0.503, 0.345)
Al (0.424, 0.497, 0.655)

Below is BeAl2Br8 after structural relaxation, with properties calculated at the PBE-GGA level.

Output
* energy relative to the elements, uncorrected: -1046.6 kJ/mol of formula units
* total energy: -35.441 eV/cell

Cell lengths 6.364, 8.067, 8.067 Å; angles 79.26, 90.31, 90.31 degrees
Sites, in units of the cell vectors:
Br (0.197, 0.923, 0.254)
Br (0.803, 0.077, 0.746)
Br (0.251, 0.369, 0.369)
Br (0.283, 0.815, 0.815)
Br (0.717, 0.185, 0.185)
Br (0.197, 0.254, 0.923)
Br (0.749, 0.631, 0.631)
Br (0.803, 0.746, 0.077)
Be (0.000, 0.000, 0.000)
Al (0.355, 0.195, 0.195)
Al (0.645, 0.805, 0.805)

Below is Pr2Ni4Ge3Ir after structural relaxation, with properties calculated at the PBE-GGA level.

Output
* ΔH_f (0 K): -55 kJ/mol of atoms
* total energy: -61.055 eV/cell

Cell lengths 4.128, 4.128, 9.996 Å; angles 90.00, 90.00, 90.00 degrees
Sites, in units of the cell vectors:
Ge (0.000, 0.500, 0.123)
Ge (0.000, 0.000, 0.500)
Ge (0.500, 0.000, 0.877)
Ni (0.500, 0.500, 0.000)
Ni (0.000, 0.000, 0.000)
Ni (0.000, 0.500, 0.364)
Ni (0.500, 0.000, 0.636)
Pr (0.000, 0.500, 0.750)
Pr (0.500, 0.000, 0.250)
Ir (0.500, 0.500, 0.500)

Below is Hf3S after structural relaxation, with properties calculated at the PBE-GGA level.

Output
* energy relative to the elements, uncorrected: -218.3 kJ/mol of formula units
* total energy: -36.250 eV/cell
* E above lowest polymorph: 0.54 eV per formula unit

Cell lengths 3.267, 5.641, 5.392 Å; angles 121.54, 107.64, 90.00 degrees
Sites, in units of the cell vectors:
S (0.000, 0.062, 0.000)
Hf (0.303, 0.649, 0.606)
Hf (0.697, 0.043, 0.394)
Hf (0.500, 0.414, 0.000)

Below is Pm2HoMn after structural relaxation, with properties calculated at the PBE-GGA level.

Output
* ΔH_f (0 K): 16 kJ/mol of atoms
* total energy: -22.567 eV/cell

Cell lengths 3.622, 3.622, 8.704 Å; angles 90.00, 90.00, 90.00 degrees
Sites, in units of the cell vectors:
Ho (0.500, 0.500, 0.500)
Pm (0.000, 0.000, 0.790)
Pm (0.000, 0.000, 0.210)
Mn (0.500, 0.500, 0.000)

Below is SrCd2PAu after structural relaxation, with properties calculated at the PBE-GGA level.

Output
* ΔH_f (0 K): -11 kJ/mol of atoms
* total energy: -12.763 eV/cell

Cell lengths 5.070, 5.814, 5.070 Å; angles 90.00, 90.00, 90.00 degrees
Sites, in units of the cell vectors:
Sr (0.000, 0.500, 0.000)
Cd (0.000, 0.000, 0.500)
Cd (0.500, 0.000, 0.000)
P (0.000, 0.000, 0.000)
Au (0.500, 0.500, 0.500)

Below is Ca6TbSe8 after structural relaxation, with properties calculated at the PBE-GGA level.

Output
* energy relative to the elements, uncorrected: -2714.9 kJ/mol of formula units
* total energy: -72.654 eV/cell

Cell lengths 8.408, 8.408, 8.408 Å; angles 60.00, 60.00, 60.00 degrees
Sites, in units of the cell vectors:
Se (0.758, 0.758, 0.242)
Se (0.242, 0.758, 0.758)
Se (0.750, 0.750, 0.750)
Se (0.758, 0.242, 0.242)
Se (0.250, 0.250, 0.250)
Se (0.242, 0.758, 0.242)
Se (0.758, 0.242, 0.758)
Se (0.242, 0.242, 0.758)
Ca (0.500, 0.000, 0.000)
Ca (0.500, 0.000, 0.500)
Ca (0.500, 0.500, 0.000)
Ca (0.000, 0.500, 0.500)
Ca (0.000, 0.000, 0.500)
Ca (0.000, 0.500, 0.000)
Tb (0.000, 0.000, 0.000)

Below is Ca4Hg2Pb5 after structural relaxation, with properties calculated at the PBE-GGA level.

Output
* ΔH_f (0 K): -39 kJ/mol of atoms
* total energy: -31.612 eV/cell

Cell lengths 3.785, 8.512, 10.139 Å; angles 92.57, 90.00, 90.00 degrees
Sites, in units of the cell vectors:
Ca (0.500, 0.211, 0.861)
Ca (0.500, 0.766, 0.594)
Ca (0.500, 0.234, 0.406)
Ca (0.500, 0.789, 0.139)
Hg (0.000, 0.083, 0.628)
Hg (0.000, 0.917, 0.372)
Pb (0.000, 0.545, 0.335)
Pb (0.000, 0.500, 0.000)
Pb (0.000, 0.455, 0.665)
Pb (0.000, 0.138, 0.129)
Pb (0.000, 0.862, 0.871)

Below is Pa3SiSe2 after structural relaxation, with properties calculated at the PBE-GGA level.

Output
* energy relative to the elements, uncorrected: -572.3 kJ/mol of formula units
* total energy: -46.811 eV/cell

Cell lengths 4.015, 5.746, 7.135 Å; angles 113.74, 106.34, 90.00 degrees
Sites, in units of the cell vectors:
Pa (0.000, 0.000, 0.000)
Pa (0.339, 0.339, 0.678)
Pa (0.661, 0.661, 0.322)
Si (0.000, 0.500, 0.000)
Se (0.332, 0.832, 0.665)
Se (0.668, 0.168, 0.335)

Below is NpMnCr2S6 after structural relaxation, with properties calculated at the PBE-GGA level.

Output
* energy relative to the elements, uncorrected: -756.7 kJ/mol of formula units
* total energy: -73.965 eV/cell

Cell lengths 6.286, 6.286, 6.755 Å; angles 62.27, 62.27, 60.00 degrees
Sites, in units of the cell vectors:
S (0.636, 0.232, 0.255)
S (0.745, 0.111, 0.739)
S (0.405, 0.744, 0.739)
S (0.111, 0.405, 0.739)
S (0.232, 0.877, 0.255)
S (0.877, 0.636, 0.255)
Cr (0.011, 0.011, 0.966)
Cr (0.509, 0.509, 0.472)
Mn (0.818, 0.818, 0.545)
Np (0.316, 0.316, 0.052)

Below is Li6CdGa after structural relaxation, with properties calculated at the PBE-GGA level.

Output
* ΔH_f (0 K): -16 kJ/mol of atoms
* total energy: -16.716 eV/cell
* E above lowest polymorph: 0.10 eV per formula unit

Cell lengths 7.325, 7.379, 5.185 Å; angles 45.01, 45.21, 59.13 degrees
Sites, in units of the cell vectors:
Li (0.000, 0.500, 0.257)
Li (0.000, 0.500, 0.743)
Li (0.502, 0.757, 0.740)
Li (0.756, 0.998, 0.746)
Li (0.244, 0.002, 0.254)
Li (0.498, 0.243, 0.260)
Cd (0.500, 0.500, 0.500)
Ga (0.000, 0.000, 0.000)